## VRuF (PBE with a Hubbard U)

Data for an optimized crystal structure of VRuF.

a = 2.872 Å, b = 2.789 Å, c = 13.744 Å
α = 90.00°, β = 90.00°, γ = 120.99°
Positions (direct):
F 0.216 0.433 0.904
F 0.216 0.433 0.096
Ru 0.686 0.371 0.357
Ru 0.686 0.371 0.643
V 0.559 0.117 0.000
V 0.304 0.608 0.500

## Properties
**E_tot**: -0.2450 Ha/atom